No. 1
A relaxed LaYCo4 crystal, computed with GGA-PBEsol.

a b c (Å): 4.9968 4.9968 4.9968
angles (deg): 60.00 60.00 60.00
Site moments in Bohr magnetons follow the coordinates.
Fractional coordinates of all 6 atoms:
Co 0.8761 0.3746 0.3746  0.32
La 0.7500 0.7500 0.7500  -0.07
Co 0.3746 0.3746 0.3746  0.32
Y 0.0000 0.0000 0.0000  -0.10
Co 0.3746 0.3746 0.8761  0.32
Co 0.3746 0.8761 0.3746  0.32

Summary:
- size of the total moment (μB/atom) = 0.171
- DOS(E_F) (states/eV/f.u.) = 7.796
- DFT formation energy (eV/atom) = -0.104
- V (Å³ per cell) = 88.22


No. 2
A relaxed La2YCo2 crystal, computed with GGA-PBEsol.

a b c (Å): 4.8711 4.8711 6.0782
angles (deg): 113.62 113.62 90.00
Fractional coordinates of all 5 atoms:
La 0.3307 0.3307 0.6613
Co 0.2500 0.7500 0.5000
La 0.6693 0.6693 0.3387
Co 0.7500 0.2500 0.5000
Y 0.0000 0.0000 0.0000

Summary:
- size of the total moment (μB/atom) = 0.000
- DOS(E_F) (states/eV/f.u.) = 4.971
- DFT formation energy (eV/atom) = 0.271
- V (Å³ per cell) = 118.83


No. 3
A relaxed LaYCo2 crystal, computed with GGA-PBEsol.

a b c (Å): 3.8534 3.9737 5.5952
angles (deg): 110.80 90.00 90.00
Fractional coordinates of all 4 atoms:
La 0.0000 0.1038 0.2076
Co 0.0000 0.8150 0.6300
Y 0.5000 0.3901 0.7803
Co 0.5000 0.6953 0.3906

Summary:
- size of the total moment (μB/atom) = 0.000
- DOS(E_F) (states/eV/f.u.) = 3.107
- DFT formation energy (eV/atom) = -0.105
- energy relative to the lowest polymorph listed for this composition (kJ/mol of formula units) = 0
- V (Å³ per cell) = 80.09


No. 4
A relaxed LaYCo10 crystal, computed with GGA-PBEsol.

a b c (Å): 3.9010 4.8712 8.4723
angles (deg): 90.00 90.00 90.00
Site moments in Bohr magnetons follow the coordinates.
Fractional coordinates of all 12 atoms:
Co 0.5000 0.0000 0.0000  1.43
Y 0.0000 0.0000 0.5000  -0.29
Co 0.5000 0.7580 0.2588  1.44
Co 0.5000 0.7580 0.7412  1.44
Co 0.0000 0.0000 0.1687  1.43
Co 0.5000 0.5000 0.5000  1.46
Co 0.5000 0.2420 0.7412  1.44
Co 0.0000 0.5000 0.3330  1.47
Co 0.0000 0.0000 0.8313  1.43
Co 0.5000 0.2420 0.2588  1.44
Co 0.0000 0.5000 0.6670  1.47
La 0.0000 0.5000 0.0000  -0.22

Summary:
- size of the total moment (μB/atom) = 1.130
- DOS(E_F) (states/eV/f.u.) = 18.162
- DFT formation energy (eV/atom) = -0.042
- V (Å³ per cell) = 161.00


No. 5
A relaxed LaYCo crystal, computed with GGA-PBEsol.

a b c (Å): 3.8849 3.8849 6.1896
angles (deg): 90.00 90.00 120.00
Fractional coordinates of all 3 atoms:
Co 0.0000 0.0000 0.9975
Y 0.6667 0.3333 0.2344
La 0.3333 0.6667 0.7680

Summary:
- size of the total moment (μB/atom) = 0.000
- DOS(E_F) (states/eV/f.u.) = 2.914
- DFT formation energy (eV/atom) = -0.034
- V (Å³ per cell) = 80.90


No. 6
A relaxed LaZnCo2 crystal, computed with GGA-PBEsol.

a b c (Å): 4.0263 4.0263 5.5710
angles (deg): 89.96 111.22 120.01
Site moments in Bohr magnetons follow the coordinates.
Fractional coordinates of all 4 atoms:
Co 0.6169 0.3084 0.9253  1.11
Zn 0.4036 0.7017 0.1053  -0.03
Co 0.9659 0.9830 0.9489  1.23
La 0.0136 0.5069 0.5205  -0.11

Summary:
- size of the total moment (μB/atom) = 0.509
- DOS(E_F) (states/eV/f.u.) = 4.174
- DFT formation energy (eV/atom) = -0.090
- V (Å³ per cell) = 71.06